## LiCdAg (PBEsol)

Data for a relaxed LiCdAg crystal.

Cell and atoms, written as extended XYZ:
```
3
Lattice="-0.941 2.769 -0.337 -2.645 -1.226 -2.690 -1.148 -1.385 4.686" Properties=species:S:1:pos:R:3 pbc="T T T"
Cd -2.776 0.566 -0.453
Ag -4.706 0.164 1.629
Li -1.986 -0.414 2.142
```

Summary:
total DFT energy (no corrections) = -7.11 eV per formula unit
SG = Imm2 (44)
size of the total moment = 0.000 μB/atom